# 1
Material: CuTcGePd
Method: DFT, GGA-PBE
State: relaxed

Properties
- SG: F-43m (216)
- Polymorph energy (0 for the lowest one): 0 meV/atom

Unit cell a=4.332 b=4.332 c=4.332 alpha=60.00 beta=60.00 gamma=60.00
Positions (direct):
Cu: 0.000 0.000 0.000
Tc: 0.500 0.500 0.500
Ge: 0.750 0.750 0.750
Pd: 0.250 0.250 0.250

# 2
Material: GdYTeO2
Method: DFT, GGA-PBE
State: relaxed

Properties
- SG: P3m1 (156)
- Polymorph energy (0 for the lowest one): 76 meV/atom

Unit cell a=3.914 b=3.914 c=7.218 alpha=90.00 beta=90.00 gamma=120.00
Positions (direct):
Gd: 0.000 0.000 0.000
Y: 0.333 0.667 0.608
Te: 0.667 0.333 0.306
O: 0.000 0.000 0.682
O: 0.333 0.667 0.924

# 3
Material: BaZnSn2Pd
Method: DFT, GGA-PBE
State: relaxed

Properties
- SG: P4/nmm (129)

Unit cell a=4.762 b=4.762 c=11.316 alpha=90.00 beta=90.00 gamma=90.00
Positions (direct):
Ba: 0.250 0.250 0.246
Ba: 0.750 0.750 0.754
Zn: 0.250 0.750 0.000
Zn: 0.750 0.250 0.000
Sn: 0.250 0.250 0.864
Sn: 0.250 0.750 0.500
Sn: 0.750 0.250 0.500
Sn: 0.750 0.750 0.136
Pd: 0.250 0.250 0.623
Pd: 0.750 0.750 0.377

# 4
Material: Dy3Y3Er2
Method: DFT, GGA-PBE
State: relaxed

Properties
- SG: P-6m2 (187)
- Energy of formation from the pure elements: 0.004 eV per atom

Unit cell a=7.233 b=7.233 c=5.621 alpha=90.00 beta=90.00 gamma=120.00
Positions (direct):
Dy: 0.167 0.334 0.000
Dy: 0.167 0.833 0.000
Dy: 0.666 0.833 0.000
Y: 0.333 0.167 0.500
Y: 0.833 0.167 0.500
Y: 0.833 0.667 0.500
Er: 0.333 0.667 0.500
Er: 0.667 0.333 0.000

# 5
Material: SmTm2ScIn2
Method: DFT, GGA-PBE
State: relaxed

Properties
- SG: P-3m1 (164)

Unit cell a=5.321 b=5.321 c=6.617 alpha=90.00 beta=90.00 gamma=120.00
Positions (direct):
Sm: 0.000 0.000 0.000
Tm: 0.333 0.667 0.274
Tm: 0.667 0.333 0.726
Sc: 0.000 0.000 0.500
In: 0.333 0.667 0.757
In: 0.667 0.333 0.243

# 6
Material: Ho3Mg3AlInAg
Method: DFT, GGA-PBE
State: relaxed

Properties
- SG: P-6 (174)

Unit cell a=7.518 b=7.518 c=4.389 alpha=90.00 beta=90.00 gamma=120.00
Positions (direct):
Ho: 0.009 0.423 0.000
Ho: 0.414 0.991 0.000
Ho: 0.577 0.586 0.000
Mg: 0.004 0.760 0.500
Mg: 0.240 0.244 0.500
Mg: 0.756 0.996 0.500
Al: 0.333 0.667 0.500
In: 0.667 0.333 0.500
Ag: 0.000 0.000 0.000

# 7
Material: DyTmAl4Au2
Method: DFT, GGA-PBE
State: relaxed

Properties
- SG: Amm2 (38)

Unit cell a=6.768 b=5.605 c=5.605 alpha=46.65 beta=90.00 gamma=90.00
Positions (direct):
Dy: 0.000 0.000 0.000
Tm: 0.500 0.157 0.157
Al: 0.199 0.706 0.706
Al: 0.302 0.451 0.451
Al: 0.698 0.451 0.451
Al: 0.801 0.706 0.706
Au: 0.000 0.286 0.286
Au: 0.500 0.871 0.871

# 8
Material: TmMgGa
Method: DFT, GGA-PBE
State: relaxed

Properties
- SG: P6_3mc (186)
- Polymorph energy (0 for the lowest one): 73 meV/atom

Unit cell a=4.643 b=4.643 c=7.008 alpha=90.00 beta=90.00 gamma=120.00
Positions (direct):
Tm: 0.000 0.000 0.000
Tm: 0.000 0.000 0.500
Mg: 0.333 0.667 0.266
Mg: 0.667 0.333 0.766
Ga: 0.333 0.667 0.722
Ga: 0.667 0.333 0.222

# 9
Material: CoCuHgW
Method: DFT, GGA-PBE
State: relaxed

Properties
- SG: F-43m (216)
- Polymorph energy (0 for the lowest one): 289 meV/atom
- Energy of formation from the pure elements: 0.806 eV per atom

Unit cell a=4.361 b=4.361 c=4.361 alpha=60.00 beta=60.00 gamma=60.00
Positions (direct):
Co: 0.000 0.000 0.000
Cu: 0.750 0.750 0.750
Hg: 0.250 0.250 0.250
W: 0.500 0.500 0.500

# 10
Material: Li2LaScIn2Cu2
Method: DFT, GGA-PBE
State: relaxed

Properties
- SG: P-4m2 (115)

Unit cell a=4.736 b=4.736 c=6.694 alpha=90.00 beta=90.00 gamma=90.00
Positions (direct):
Li: 0.000 0.500 0.232
Li: 0.500 0.000 0.768
La: 0.000 0.000 0.500
Sc: 0.500 0.500 0.000
In: 0.000 0.000 0.000
In: 0.500 0.500 0.500
Cu: 0.000 0.500 0.773
Cu: 0.500 0.000 0.227

# 11
Material: GdYNi2C2N2
Method: DFT, GGA-PBE
State: relaxed

Properties
- SG: P4mm (99)

Unit cell a=3.477 b=3.477 c=7.349 alpha=90.00 beta=90.00 gamma=90.00
Positions (direct):
Gd: 0.000 0.000 0.000
Y: 0.500 0.500 0.653
Ni: 0.000 0.500 0.326
Ni: 0.500 0.000 0.326
C: 0.000 0.000 0.485
C: 0.500 0.500 0.165
N: 0.000 0.000 0.676
N: 0.500 0.500 0.974

# 12
Material: Sr2CuS2Cl2
Method: DFT, GGA-PBE
State: relaxed

Properties
- SG: I4/mmm (139)

Unit cell a=8.620 b=8.620 c=8.620 alpha=149.20 beta=149.20 gamma=44.12
Positions (direct):
Sr: 0.126 0.126 0.000
Sr: 0.874 0.874 0.000
Cu: 0.500 0.500 0.000
S: 0.000 0.500 0.500
S: 0.500 0.000 0.500
Cl: 0.310 0.310 0.000
Cl: 0.690 0.690 0.000

# 13
Material: Pm2Tl
Method: DFT, GGA-PBE
State: relaxed

Properties
- SG: Cmcm (63)
- Polymorph energy (0 for the lowest one): 0 meV/atom

Unit cell a=5.532 b=5.532 c=6.879 alpha=90.00 beta=90.00 gamma=119.93
Positions (direct):
Pm: 0.000 0.000 0.000
Pm: 0.000 0.000 0.500
Pm: 0.333 0.667 0.750
Pm: 0.667 0.333 0.250
Tl: 0.333 0.667 0.250
Tl: 0.667 0.333 0.750

# 14
Material: Li2Mg2Ga2FeIr
Method: DFT, GGA-PBE
State: relaxed

Properties
- SG: P-4m2 (115)

Unit cell a=4.321 b=4.321 c=6.233 alpha=90.00 beta=90.00 gamma=90.00
Positions (direct):
Li: 0.000 0.000 0.000
Li: 0.500 0.500 0.500
Mg: 0.000 0.500 0.248
Mg: 0.500 0.000 0.752
Ga: 0.000 0.500 0.747
Ga: 0.500 0.000 0.253
Fe: 0.000 0.000 0.500
Ir: 0.500 0.500 0.000

# 15
Material: PmThPt2
Method: DFT, GGA-PBE
State: relaxed

Properties
- SG: Pm (6)
- Energy of formation from the pure elements: -1.218 eV per atom

Unit cell a=3.876 b=4.511 c=5.887 alpha=90.00 beta=109.17 gamma=90.00
Positions (direct):
Pm: 0.000 0.000 0.000
Th: 0.728 0.500 0.452
Pt: 0.267 0.000 0.532
Pt: 0.453 0.500 0.905

# 16
Material: ZnSb
Method: DFT, GGA-PBE
State: relaxed

Properties
- SG: P2_1/m (11)

Unit cell a=6.843 b=5.058 c=8.471 alpha=90.00 beta=93.51 gamma=90.00
Positions (direct):
Zn: 0.123 0.250 0.155
Zn: 0.194 0.750 0.694
Zn: 0.239 0.250 0.523
Zn: 0.761 0.750 0.477
Zn: 0.806 0.250 0.306
Zn: 0.877 0.750 0.845
Sb: 0.044 0.250 0.801
Sb: 0.325 0.750 0.398
Sb: 0.496 0.250 0.092
Sb: 0.504 0.750 0.908
Sb: 0.675 0.250 0.602
Sb: 0.956 0.750 0.199

# 17
Material: Cu5Ag4
Method: DFT, GGA-PBE
State: relaxed

Properties
- SG: Immm (71)
- Polymorph energy (0 for the lowest one): 33 meV/atom
- Energy of formation from the pure elements: 0.073 eV per atom

Unit cell a=12.956 b=12.956 c=12.956 alpha=167.75 beta=163.58 gamma=20.54
Positions (direct):
Cu: 0.000 0.000 0.000
Cu: 0.096 0.096 0.000
Cu: 0.452 0.452 0.000
Cu: 0.548 0.548 0.000
Cu: 0.904 0.904 0.000
Ag: 0.217 0.217 0.000
Ag: 0.348 0.348 0.000
Ag: 0.652 0.652 0.000
Ag: 0.783 0.783 0.000

# 18
Material: Al3Co10
Method: DFT, GGA-PBE
State: relaxed

Properties
- SG: R-3m (166)
- Polymorph energy (0 for the lowest one): 41 meV/atom

Unit cell a=8.687 b=8.687 c=8.687 alpha=30.86 beta=30.86 gamma=30.86
Positions (direct):
Al: 0.000 0.000 0.000
Al: 0.449 0.449 0.449
Al: 0.551 0.551 0.551
Co: 0.090 0.090 0.583
Co: 0.090 0.583 0.090
Co: 0.167 0.167 0.167
Co: 0.346 0.346 0.346
Co: 0.417 0.910 0.910
Co: 0.583 0.090 0.090
Co: 0.654 0.654 0.654
Co: 0.833 0.833 0.833
Co: 0.910 0.417 0.910
Co: 0.910 0.910 0.417

# 19
Material: BaCdHg2
Method: DFT, GGA-PBE
State: relaxed

Properties
- SG: F-43m (216)

Unit cell a=5.534 b=5.534 c=5.534 alpha=60.00 beta=60.00 gamma=60.00
Positions (direct):
Ba: 0.000 0.000 0.000
Cd: 0.250 0.250 0.250
Hg: 0.500 0.500 0.500
Hg: 0.750 0.750 0.750

# 20
Material: Tm2Ga2IrPd3
Method: DFT, GGA-PBE
State: relaxed

Properties
- SG: P3m1 (156)

Unit cell a=4.359 b=4.359 c=8.986 alpha=90.00 beta=90.00 gamma=120.00
Positions (direct):
Tm: 0.000 0.000 0.000
Tm: 0.333 0.667 0.489
Ga: 0.667 0.333 0.265
Ga: 0.667 0.333 0.749
Ir: 0.000 0.000 0.326
Pd: 0.000 0.000 0.663
Pd: 0.333 0.667 0.157
Pd: 0.333 0.667 0.828

What did we get for raw total energy? Answer: -23.58; -38.51; -38.60; -42.29; -27.52; -30.79; -35.87; -20.52; -20.86; -30.47; -62.37; -30.47; -25.34; -32.14; -29.14; -31.50; -29.22; -82.64; -4.66; -46.28 eV for the cell shown, in the order shown.